DFT (PBE) results for a relaxed BeH2Pd5 crystal.

Cell: 4.859 4.859 11.145 Å, 90.00 90.00 136.17°
Element x y z (fractional)
Be 0.031 0.969 0.750
Be 0.969 0.031 0.250
H 0.351 0.649 0.094
H 0.351 0.649 0.406
H 0.649 0.351 0.594
H 0.649 0.351 0.906
Pd 0.152 0.848 0.553
Pd 0.152 0.848 0.947
Pd 0.264 0.736 0.250
Pd 0.441 0.559 0.629
Pd 0.441 0.559 0.871
Pd 0.559 0.441 0.129
Pd 0.559 0.441 0.371
Pd 0.736 0.264 0.750
Pd 0.848 0.152 0.053
Pd 0.848 0.152 0.447

Output
* D(E_F): 4.290 states/eV/cell
* final energy: -4.751 eV/atom
* total magnetization: 0.00 Bohr magnetons per cell


DFT (PBE) results for a relaxed SrBi2Rh crystal.

Cell: 10.033 10.033 10.033 Å, 149.36 149.36 43.88°
Element x y z (fractional)
Sr 0.000 0.000 0.000
Sr 0.750 0.250 0.500
Bi 0.232 0.625 0.107
Bi 0.375 0.482 0.607
Bi 0.518 0.125 0.893
Bi 0.875 0.768 0.393
Rh 0.250 0.750 0.500
Rh 0.500 0.500 0.000

Output
* D(E_F): 4.642 states/eV/cell
* final energy: -4.312 eV/atom
* total magnetization: 0.00 Bohr magnetons per cell


DFT (PBE) results for a relaxed HoEr2Au crystal.

Cell: 10.141 10.141 10.141 Å, 20.67 20.67 20.67°
Element x y z (fractional)
Ho 0.000 0.000 0.000
Er 0.237 0.237 0.237
Er 0.763 0.763 0.763
Au 0.500 0.500 0.500

Output
* D(E_F): 4.884 states/eV/cell
* ΔE to the lowest computed polymorph: 176 meV/atom
* total magnetization: 0.00 Bohr magnetons per cell


DFT (PBE) results for a relaxed Pr2SmYSe6 crystal.

Cell: 7.851 7.851 7.851 Å, 56.48 56.48 56.48°
Element x y z (fractional)
Pr 0.000 0.000 0.000
Pr 0.499 0.499 0.499
Sm 0.202 0.202 0.202
Y 0.700 0.700 0.700
Se 0.084 0.416 0.812
Se 0.314 0.909 0.591
Se 0.416 0.812 0.084
Se 0.591 0.314 0.909
Se 0.812 0.084 0.416
Se 0.909 0.591 0.314

Output
* D(E_F): 0.000 states/eV/cell
* total magnetization: 0.00 Bohr magnetons per cell
* formation energy without anion corrections: -18.4 eV/f.u.


DFT (PBE) results for a relaxed ZnRe3 crystal.

Cell: 8.423 8.423 8.423 Å, 153.62 153.62 37.65°
Element x y z (fractional)
Zn 0.123 0.123 0.000
Zn 0.877 0.877 0.000
Re 0.000 0.500 0.500
Re 0.250 0.750 0.500
Re 0.374 0.374 0.000
Re 0.500 0.000 0.500
Re 0.626 0.626 0.000
Re 0.750 0.250 0.500

Output
* D(E_F): 6.523 states/eV/cell
* final energy: -9.307 eV/atom
* total magnetization: 0.00 Bohr magnetons per cell


DFT (PBE) results for a relaxed Ta2CrH3 crystal.

Cell: 5.405 5.405 3.036 Å, 105.99 105.99 40.33°
Element x y z (fractional)
Ta 0.164 0.164 0.165
Ta 0.836 0.836 0.835
Cr 0.500 0.500 0.500
H 0.000 0.000 0.500
H 0.397 0.397 0.899
H 0.603 0.603 0.101

Output
* D(E_F): 2.189 states/eV/cell
* final energy: -7.238 eV/atom
* total magnetization: 0.68 Bohr magnetons per cell


DFT (PBE) results for a relaxed Cd2InPd2 crystal.

Cell: 9.642 6.782 6.246 Å, 90.00 93.77 90.00°
Element x y z (fractional)
Cd 0.006 0.224 0.003
Cd 0.006 0.276 0.503
Cd 0.321 0.247 0.483
Cd 0.321 0.253 0.983
Cd 0.679 0.747 0.017
Cd 0.679 0.753 0.517
Cd 0.994 0.724 0.497
Cd 0.994 0.776 0.997
In 0.329 0.747 0.986
In 0.329 0.753 0.486
In 0.671 0.247 0.514
In 0.671 0.253 0.014
Pd 0.167 0.511 0.228
Pd 0.167 0.989 0.728
Pd 0.494 0.003 0.751
Pd 0.494 0.497 0.251
Pd 0.506 0.503 0.749
Pd 0.506 0.997 0.249
Pd 0.833 0.011 0.272
Pd 0.833 0.489 0.772

Output
* D(E_F): 8.521 states/eV/cell
* ΔE to the lowest computed polymorph: 18 meV/atom
* total magnetization: 0.00 Bohr magnetons per cell


DFT (PBE) results for a relaxed NaCuSb2Se4 crystal.

Cell: 7.039 6.066 6.933 Å, 65.18 51.45 63.37°
Element x y z (fractional)
Na 0.000 0.000 0.000
Cu 0.581 0.581 0.419
Sb 0.283 0.283 0.217
Sb 0.783 0.783 0.717
Se 0.267 0.704 0.296
Se 0.494 0.972 0.506
Se 0.704 0.267 0.733
Se 0.972 0.494 0.028

Output
* D(E_F): 0.833 states/eV/cell
* total magnetization: 0.00 Bohr magnetons per cell
* formation energy without anion corrections: -2.9 eV/f.u.


DFT (PBE) results for a relaxed Cd2InSb crystal.

Cell: 5.474 5.474 5.474 Å, 126.03 126.03 79.84°
Element x y z (fractional)
Cd 0.250 0.750 0.500
Cd 0.750 0.250 0.500
In 0.000 0.000 0.000
Sb 0.500 0.500 0.000

Output
* D(E_F): 1.538 states/eV/cell
* ΔE to the lowest computed polymorph: 27 meV/atom
* total magnetization: 0.00 Bohr magnetons per cell
* formation energy without anion corrections: 0.3 eV/f.u.


DFT (PBE) results for a relaxed Cr2CdTc crystal.

Cell: 2.672 2.672 8.788 Å, 90.00 90.00 111.82°
Element x y z (fractional)
Cr 0.000 0.000 0.000
Cr 0.500 0.500 0.202
Cd 0.000 0.000 0.480
Tc 0.500 0.500 0.769

Output
* D(E_F): 3.553 states/eV/cell
* final energy: -7.293 eV/atom
* total magnetization: 0.00 Bohr magnetons per cell


DFT (PBE) results for a relaxed ZrAlPb2S5 crystal.

Cell: 8.872 8.872 13.448 Å, 90.00 90.00 155.94°
Element x y z (fractional)
Zr 0.211 0.789 0.500
Zr 0.789 0.211 0.000
Al 0.438 0.562 0.897
Al 0.562 0.438 0.397
Pb 0.125 0.875 0.138
Pb 0.126 0.874 0.792
Pb 0.874 0.126 0.292
Pb 0.875 0.125 0.638
S 0.051 0.949 0.497
S 0.289 0.711 0.134
S 0.309 0.691 0.861
S 0.354 0.646 0.467
S 0.499 0.501 0.253
S 0.501 0.499 0.753
S 0.646 0.354 0.967
S 0.691 0.309 0.361
S 0.711 0.289 0.634
S 0.949 0.051 0.997

Output
* D(E_F): 4.834 states/eV/cell
* total magnetization: 0.00 Bohr magnetons per cell
* formation energy without anion corrections: -8.4 eV/f.u.


DFT (PBE) results for a relaxed As2PtPb crystal.

Cell: 5.133 5.133 5.133 Å, 127.58 127.58 77.30°
Element x y z (fractional)
As 0.000 0.000 0.000
As 0.750 0.250 0.500
Pt 0.500 0.500 0.000
Pb 0.250 0.750 0.500

Output
* D(E_F): 2.403 states/eV/cell
* final energy: -4.499 eV/atom
* total magnetization: 0.00 Bohr magnetons per cell


DFT (PBE) results for a relaxed Ho2NiGe3 crystal.

Cell: 4.003 4.193 7.056 Å, 90.00 90.00 90.00°
Element x y z (fractional)
Ho 0.000 0.000 0.000
Ho 0.000 0.500 0.491
Ni 0.500 0.000 0.313
Ge 0.500 0.000 0.638
Ge 0.500 0.500 0.180
Ge 0.500 0.500 0.829

Output
* D(E_F): 2.626 states/eV/cell
* ΔE to the lowest computed polymorph: 0 meV/atom
* total magnetization: 0.00 Bohr magnetons per cell


DFT (PBE) results for a relaxed LiAc8Pt2 crystal.

Cell: 8.736 8.736 6.307 Å, 97.37 97.37 115.44°
Element x y z (fractional)
Li 0.000 0.000 0.000
Ac 0.082 0.339 0.584
Ac 0.246 0.753 0.000
Ac 0.339 0.082 0.584
Ac 0.392 0.392 0.201
Ac 0.608 0.608 0.799
Ac 0.660 0.917 0.415
Ac 0.753 0.246 0.000
Ac 0.917 0.660 0.415
Pt 0.294 0.705 0.500
Pt 0.705 0.294 0.500

Output
* D(E_F): 13.781 states/eV/cell
* final energy: -4.581 eV/atom
* total magnetization: 0.00 Bohr magnetons per cell